Entry from Alexandria: a PBEsol-optimized structure of LiNi2Te2 (meta-GGA SCAN).

abc: 7.708 7.708 7.708
angles: 152.73 152.73 38.95
Fractional coordinates of all 5 atoms:
Li: 0.000 0.000 0.000
Ni: 0.250 0.750 0.500
Ni: 0.750 0.250 0.500
Te: 0.370 0.370 0.000
Te: 0.630 0.630 0.000

## Properties
Uncorrected formation energy (meV/atom): -307
Total magnetization (Bohr magnetons per cell): 1.09
Electronic total energy (eV for the cell shown): -110.77